A plane-wave DFT calculation with PBE with a Hubbard U was carried out for a relaxed CoMoO3 crystal.

Summary:
- Raw total energy: -6.53 eV/atom
- Space group: Amm2

abc: 2.8248 5.4281 5.4281
angles: 61.47 90.00 90.00
Positions (direct):
Co: 0.0000 0.0000 0.0000
Mo: 0.0000 0.6643 0.6643
O: 0.5000 0.3440 0.8439
O: 0.5000 0.8323 0.8323
O: 0.5000 0.8439 0.3440